Record 1
Material: DySc3Tl
Method: DFT, GGA-PBE
State: optimized geometry

The value obtained for the energy relative to the lowest polymorph listed for this composition is 0.000 eV/f.u. The formation energy from the elements is -6.7 kJ/mol of atoms.

It has space group Pmmn (No. 59, origin choice 2), with a = 5.108 Å, b = 7.749 Å, c = 6.620 Å, α = 90.00°, β = 90.00° and γ = 90.00°. The inequivalent atoms are Dy at (0.250, 0.250, 0.207), Sc at (0.250, 0.059, 0.739), Sc at (0.250, 0.750, 0.063) and Tl at (0.250, 0.750, 0.482).

***

Record 2
Material: MgGa2F8
Method: DFT, GGA-PBE
State: optimized geometry

The uncorrected formation energy comes out at -2.758 eV per atom.

It has space group C2/m (No. 12), with a = 8.059 Å, b = 6.415 Å, c = 4.993 Å, α = 90.00°, β = 103.02° and γ = 90.00°. The inequivalent atoms are Mg at (0.000, 0.000, 0.000), Ga at (0.184, 0.500, 0.448), F at (0.062, 0.500, 0.739), F at (0.142, 0.191, 0.305) and F at (0.181, 0.000, 0.805).

***

Record 3
Material: SrMnGe2Cl8
Method: DFT, GGA-PBE
State: optimized geometry

The uncorrected formation energy comes out at -1.257 eV per atom.

It has space group P-1 (No. 2), with a = 6.238 Å, b = 6.734 Å, c = 8.298 Å, α = 90.79°, β = 90.42° and γ = 92.99°. The inequivalent atoms are Sr at (0.000, 0.000, 0.000), Mn at (0.000, 0.000, 0.500), Ge at (0.465, 0.555, 0.267), Cl at (0.192, 0.183, 0.287), Cl at (0.245, 0.695, 0.466), Cl at (0.260, 0.141, 0.727) and Cl at (0.278, 0.664, 0.032).

***

Record 4
Material: PrTmTh
Method: DFT, GGA-PBE
State: optimized geometry

The value obtained for the energy relative to the lowest polymorph listed for this composition is 0.013 eV/f.u. The formation energy from the elements is 3.7 kJ/mol of atoms.

It has space group P3m1 (No. 156), with a = 3.5923 Å, b = 3.5923 Å, c = 8.8100 Å, α = 90.00°, β = 90.00° and γ = 120.00°. The inequivalent atoms are Pr at (0.0000, 0.0000, 0.0000), Tm at (0.6667, 0.3333, 0.3482) and Th at (0.3333, 0.6667, 0.6647).

***

Record 5
Material: GaC3Se
Method: DFT, GGA-PBE
State: optimized geometry

The value obtained for the energy relative to the lowest polymorph listed for this composition is 0.140 eV/f.u. The uncorrected formation energy comes out at 2.818 eV per atom.

It has space group Pm-3m (No. 221), with a = 4.056 Å, b = 4.056 Å, c = 4.056 Å, α = 90.00°, β = 90.00° and γ = 90.00°. The inequivalent atoms are Ga at (0.000, 0.000, 0.000), C at (0.000, 0.000, 0.500) and Se at (0.500, 0.500, 0.500).

***

Record 6
Material: ErPu2Te2S2
Method: DFT, GGA-PBE
State: optimized geometry

The uncorrected formation energy comes out at -1.293 eV per atom.

It has space group I4/mmm (No. 139), with a = 5.043 Å, b = 5.043 Å, c = 15.887 Å, α = 90.00°, β = 90.00° and γ = 90.00°. The inequivalent atoms are Er at (0.000, 0.000, 0.000), Pu at (0.000, 0.000, 0.383), Te at (0.000, 0.000, 0.187) and S at (0.000, 0.500, 0.000).

***

Record 7
Material: K2CdSiO4
Method: DFT, GGA-PBE
State: optimized geometry

The value obtained for the energy relative to the lowest polymorph listed for this composition is 1.831 eV/f.u. The uncorrected formation energy comes out at -1.783 eV per atom.

It has space group Fddd (No. 70, origin choice 2), with a = 5.467 Å, b = 11.629 Å, c = 21.042 Å, α = 90.00°, β = 90.00° and γ = 90.00°. The inequivalent atoms are K at (0.125, 0.125, 0.310), Cd at (0.125, 0.125, 0.125), Si at (0.125, 0.125, 0.625) and O at (0.058, 0.288, 0.833).

***

Record 8
Material: NiBi3Au
Method: DFT, GGA-PBE
State: optimized geometry

The value obtained for the energy relative to the lowest polymorph listed for this composition is 0.000 eV/f.u. The formation energy from the elements is -4.3 kJ/mol of atoms.

It has space group P2_1/m (No. 11), with a = 7.848 Å, b = 4.097 Å, c = 8.042 Å, α = 90.00°, β = 98.45° and γ = 90.00°. The inequivalent atoms are Ni at (0.074, 0.250, 0.081), Bi at (0.015, 0.250, 0.718), Bi at (0.283, 0.750, 0.981), Bi at (0.349, 0.250, 0.338) and Au at (0.391, 0.250, 0.714).

***

What DOS at the Fermi energy values result from the calculations? In sequence: 0.9506 0.0000 0.0000 1.5885 0.8037 3.5730 0.0000 0.4500 states/eV per atom.